# 1
The following is a PBE-GGA calculation of crystalline Ho2SnIr at its relaxed geometry, from the Alexandria database.

The structure belongs to space group R-3m (No. 166, hexagonal axes); the cell edges are 3.8227, 3.8227 and 24.9680 Å and the angles 90.00°, 90.00° and 120.00°. The inequivalent atoms are Ho at (0.0000, 0.0000, 0.2329), Sn at (0.0000, 0.0000, 0.0000) and Ir at (0.0000, 0.0000, 0.5000).

The final energy is -6.1000 eV/atom. For the magnetic moment, the calculation gives 0.0000 μB/atom. Its volume is 316 Å³/cell. For the energy above the most stable polymorph in this dataset, the calculation gives 213 meV/atom.



# 2
The following is a PBE-GGA calculation of crystalline Ho2SnIr at its relaxed geometry, from the Alexandria database.

The structure belongs to space group P2_1/m (No. 11); the cell edges are 6.213, 3.946 and 8.547 Å and the angles 90.00°, 108.91° and 90.00°. The inequivalent atoms are Ho at (0.166, 0.250, 0.391), Ho at (0.249, 0.750, 0.046), Sn at (0.380, 0.750, 0.703) and Ir at (0.118, 0.250, 0.797).

The final energy is -6.3128 eV/atom. For the magnetic moment, the calculation gives 0.0000 μB/atom. Its volume is 198 Å³/cell. For the energy above the most stable polymorph in this dataset, the calculation gives 0 meV/atom.



# 3
The following is a PBE-GGA calculation of crystalline Ho8Sn2Ir3 at its relaxed geometry, from the Alexandria database.

The structure belongs to space group C2/m (No. 12); the cell edges are 16.119, 7.561 and 6.821 Å and the angles 90.00°, 109.80° and 90.00°. The inequivalent atoms are Ho at (0.088, 0.000, 0.420), Ho at (0.101, 0.249, 0.905), Ho at (0.141, 0.500, 0.482), Sn at (0.250, 0.000, 0.832), Ir at (0.000, 0.000, 0.000) and Ir at (0.000, 0.301, 0.500).

The final energy is -6.0278 eV/atom. For the magnetic moment, the calculation gives 0.0000 μB/atom. Its volume is 782 Å³/cell.



no.,formation enthalpy at 0 K (meV per atom)
1,-595.2
2,-807.9
3,-550.0